First-principles (GGA-PBE) data for a relaxed structure of BaN, as listed in Alexandria.

Structure (CIF):
```
data_BaN
_chemical_formula_sum 'Ba4 N4'
_cell_length_a 5.7207
_cell_length_b 5.7207
_cell_length_c 5.7207
_cell_angle_alpha 90.00
_cell_angle_beta 90.00
_cell_angle_gamma 90.00
_space_group_name_H-M_alt 'F m -3 m'
_space_group_IT_number 225
_space_group_name_Hall '-F 4 2 3'
loop_
_atom_site_label
_atom_site_type_symbol
_atom_site_fract_x
_atom_site_fract_y
_atom_site_fract_z
Ba1 Ba 0.0000 0.0000 0.0000
N1 N 0.0000 0.0000 0.5000
```

Results
ΔE_f (raw) (eV per formula unit): 0.1
Calculated density (Mg/m³): 5.37


First-principles (GGA-PBE) data for a relaxed structure of Be2RhAu, as listed in Alexandria.

Structure (CIF):
```
data_Be2RhAu
_chemical_formula_sum 'Be8 Rh4 Au4'
_cell_length_a 5.9349
_cell_length_b 5.9349
_cell_length_c 5.9349
_cell_angle_alpha 90.00
_cell_angle_beta 90.00
_cell_angle_gamma 90.00
_space_group_name_H-M_alt 'F -4 3 m'
_space_group_IT_number 216
_space_group_name_Hall 'F -4 2 3'
loop_
_atom_site_label
_atom_site_type_symbol
_atom_site_fract_x
_atom_site_fract_y
_atom_site_fract_z
Be1 Be 0.0000 0.0000 0.0000
Be2 Be 0.2500 0.2500 0.2500
Rh1 Rh 0.0000 0.0000 0.5000
Au1 Au 0.2500 0.2500 0.7500
```

Results
Calculated density (Mg/m³): 10.10
Energy relative to the lowest polymorph listed for this composition (eV per atom): 0.560
Calculated formation energy (kcal/mol of atoms): 2.18


First-principles (GGA-PBE) data for a relaxed structure of Ac6Sb2TeP3, as listed in Alexandria.

Structure (CIF):
```
data_Ac6Sb2TeP3
_chemical_formula_sum 'Ac12 Sb4 Te2 P6'
_cell_length_a 20.1586
_cell_length_b 4.5832
_cell_length_c 9.2762
_cell_angle_alpha 90.00
_cell_angle_beta 104.20
_cell_angle_gamma 90.00
_space_group_name_H-M_alt 'C 1 2/m 1'
_space_group_IT_number 12
loop_
_space_group_symop_operation_xyz
'x,y,z'
'-x,-y,-z'
'-x,y,-z'
'x,-y,z'
'x+1/2,y+1/2,z'
'-x+1/2,-y+1/2,-z'
'-x+1/2,y+1/2,-z'
'x+1/2,-y+1/2,z'
loop_
_atom_site_label
_atom_site_type_symbol
_atom_site_fract_x
_atom_site_fract_y
_atom_site_fract_z
Ac1 Ac 0.0051 0.0000 0.2324
Ac2 Ac 0.1630 0.5000 0.0936
Ac3 Ac 0.1732 0.5000 0.5727
Sb1 Sb 0.1652 0.0000 0.8305
Te1 Te 0.0000 0.5000 0.5000
P1 P 0.0000 0.5000 0.0000
P2 P 0.1657 0.0000 0.3337
```

Results
ΔE_f (raw) (eV per formula unit): -17.0
Calculated density (Mg/m³): 7.30


First-principles (GGA-PBE) data for a relaxed structure of Ce2Cd2Ag, as listed in Alexandria.

Structure (CIF):
```
data_Ce2Cd2Ag
_chemical_formula_sum 'Ce8 Cd8 Ag4'
_cell_length_a 10.8567
_cell_length_b 4.9287
_cell_length_c 9.4110
_cell_angle_alpha 90.00
_cell_angle_beta 101.53
_cell_angle_gamma 90.00
_space_group_name_H-M_alt 'C 1 2/m 1'
_space_group_IT_number 12
loop_
_space_group_symop_operation_xyz
'x,y,z'
'-x,-y,-z'
'-x,y,-z'
'x,-y,z'
'x+1/2,y+1/2,z'
'-x+1/2,-y+1/2,-z'
'-x+1/2,y+1/2,-z'
'x+1/2,-y+1/2,z'
loop_
_atom_site_label
_atom_site_type_symbol
_atom_site_fract_x
_atom_site_fract_y
_atom_site_fract_z
Ce1 Ce 0.0515 0.0000 0.3775
Ce2 Ce 0.1847 0.0000 0.0504
Cd1 Cd 0.0092 0.5000 0.8537
Cd2 Cd 0.1410 0.5000 0.5971
Ag1 Ag 0.2439 0.5000 0.2981
```

Results
Calculated density (Mg/m³): 8.25
Calculated formation energy (kcal/mol of atoms): -3.36


First-principles (GGA-PBE) data for a relaxed structure of TlSb2Ir, as listed in Alexandria.

Structure (CIF):
```
data_TlSb2Ir
_chemical_formula_sum 'Tl1 Sb2 Ir1'
_cell_length_a 3.2407
_cell_length_b 3.2550
_cell_length_c 9.5982
_cell_angle_alpha 90.00
_cell_angle_beta 90.71
_cell_angle_gamma 90.00
_space_group_name_H-M_alt 'P 1 2/m 1'
_space_group_IT_number 10
loop_
_space_group_symop_operation_xyz
'x,y,z'
'-x,-y,-z'
'-x,y,-z'
'x,-y,z'
loop_
_atom_site_label
_atom_site_type_symbol
_atom_site_fract_x
_atom_site_fract_y
_atom_site_fract_z
Tl1 Tl 0.0000 0.0000 0.0000
Sb1 Sb 0.4931 0.5000 0.3241
Ir1 Ir 0.0000 0.0000 0.5000
```

Results
ΔE_f (raw) (eV per formula unit): 0.1
Calculated density (Mg/m³): 10.50
Energy relative to the lowest polymorph listed for this composition (eV per atom): 0.122


First-principles (GGA-PBE) data for a relaxed structure of SrAc8Ru4, as listed in Alexandria.

Structure (CIF):
```
data_SrAc8Ru4
_chemical_formula_sum 'Sr2 Ac16 Ru8'
_cell_length_a 21.0126
_cell_length_b 4.3480
_cell_length_c 14.2640
_cell_angle_alpha 90.00
_cell_angle_beta 131.51
_cell_angle_gamma 90.00
_space_group_name_H-M_alt 'C 1 m 1'
_space_group_IT_number 8
loop_
_space_group_symop_operation_xyz
'x,y,z'
'x,-y,z'
'x+1/2,y+1/2,z'
'x+1/2,-y+1/2,z'
loop_
_atom_site_label
_atom_site_type_symbol
_atom_site_fract_x
_atom_site_fract_y
_atom_site_fract_z
Sr1 Sr 0.0000 0.0000 0.0000
Ac1 Ac 0.0395 0.0000 0.7341
Ac2 Ac 0.1363 0.5000 0.5944
Ac3 Ac 0.1649 0.5000 0.3456
Ac4 Ac 0.2104 0.5000 0.0712
Ac5 Ac 0.2889 0.0000 0.9277
Ac6 Ac 0.3344 0.0000 0.6538
Ac7 Ac 0.3627 0.0000 0.4045
Ac8 Ac 0.4598 0.5000 0.2650
Ru1 Ru 0.1404 0.0000 0.4615
Ru2 Ru 0.1582 0.5000 0.8130
Ru3 Ru 0.3411 0.0000 0.1860
Ru4 Ru 0.3588 0.5000 0.5377
```

Results
Calculated density (Mg/m³): 7.85
Calculated formation energy (kcal/mol of atoms): -3.98


First-principles (GGA-PBE) data for a relaxed structure of Sr3Cl, as listed in Alexandria.

Structure (CIF):
```
data_Sr3Cl
_chemical_formula_sum 'Sr12 Cl4'
_cell_length_a 8.4056
_cell_length_b 15.2951
_cell_length_c 7.1070
_cell_angle_alpha 90.00
_cell_angle_beta 90.00
_cell_angle_gamma 90.00
_space_group_name_H-M_alt 'C m c m'
_space_group_IT_number 63
_space_group_name_Hall '-C 2c 2'
loop_
_atom_site_label
_atom_site_type_symbol
_atom_site_fract_x
_atom_site_fract_y
_atom_site_fract_z
Sr1 Sr 0.0000 0.0799 0.2500
Sr2 Sr 0.2491 0.3318 0.2500
Cl1 Cl 0.0000 0.4518 0.2500
```

Results
ΔE_f (raw) (eV per formula unit): -2.5
Calculated density (Mg/m³): 2.17
Energy relative to the lowest polymorph listed for this composition (eV per atom): 0.208


First-principles (GGA-PBE) data for a relaxed structure of CeSc2In2Hg2, as listed in Alexandria.

Structure (CIF):
```
data_CeSc2In2Hg2
_chemical_formula_sum 'Ce3 Sc6 In6 Hg6'
_cell_length_a 4.8498
_cell_length_b 4.8498
_cell_length_c 25.9515
_cell_angle_alpha 90.00
_cell_angle_beta 90.00
_cell_angle_gamma 120.00
_space_group_name_H-M_alt 'R -3 m'
_space_group_IT_number 166
_space_group_name_Hall '-R 3 2"'
loop_
_atom_site_label
_atom_site_type_symbol
_atom_site_fract_x
_atom_site_fract_y
_atom_site_fract_z
Ce1 Ce 0.0000 0.0000 0.0000
Sc1 Sc 0.0000 0.0000 0.1358
In1 In 0.0000 0.0000 0.2631
Hg1 Hg 0.0000 0.0000 0.4381
```

Results
Calculated density (Mg/m³): 8.11
Calculated formation energy (kcal/mol of atoms): -5.54


> Among the records above, which one has the highest calculated density?

TlSb2Ir


> Which of these has the highest calculated density?

TlSb2Ir


What did the eighth record say?
First-principles (GGA-PBE) data for a relaxed structure of CeSc2In2Hg2, as listed in Alexandria.

Structure (CIF):
```
data_CeSc2In2Hg2
_chemical_formula_sum 'Ce3 Sc6 In6 Hg6'
_cell_length_a 4.8498
_cell_length_b 4.8498
_cell_length_c 25.9515
_cell_angle_alpha 90.00
_cell_angle_beta 90.00
_cell_angle_gamma 120.00
_space_group_name_H-M_alt 'R -3 m'
_space_group_IT_number 166
_space_group_name_Hall '-R 3 2"'
loop_
_atom_site_label
_atom_site_type_symbol
_atom_site_fract_x
_atom_site_fract_y
_atom_site_fract_z
Ce1 Ce 0.0000 0.0000 0.0000
Sc1 Sc 0.0000 0.0000 0.1358
In1 In 0.0000 0.0000 0.2631
Hg1 Hg 0.0000 0.0000 0.4381
```

Results
Calculated density (Mg/m³): 8.11
Calculated formation energy (kcal/mol of atoms): -5.54